(1)
Material: Mg3BeRu
Method: DFT, PBE
State: optimized geometry

a = 4.5290 Å, b = 4.5290 Å, c = 4.5290 Å
α = 90.00°, β = 90.00°, γ = 90.00°
Fractional positions:
1 Mg 0.0000 0.0000 0.5000
2 Mg 0.0000 0.5000 0.0000
3 Mg 0.5000 0.0000 0.0000
4 Be 0.0000 0.0000 0.0000
5 Ru 0.5000 0.5000 0.5000

Output
**E_tot**: -13.9 eV/cell
**Energy above the most stable polymorph in this dataset**: 0.00 kJ/mol of atoms
**M_tot**: 1.48 μB/f.u.

---

(2)
Material: Ca3Al6Cu5
Method: DFT, PBE
State: optimized geometry

a = 4.1383 Å, b = 12.2893 Å, c = 10.1649 Å
α = 90.00°, β = 90.00°, γ = 90.00°
Fractional positions:
1 Ca 0.2500 0.0835 0.2437
2 Ca 0.2500 0.4165 0.2437
3 Ca 0.2500 0.7500 0.2606
4 Ca 0.7500 0.2500 0.7394
5 Ca 0.7500 0.5835 0.7563
6 Ca 0.7500 0.9165 0.7563
7 Al 0.2500 0.0545 0.5830
8 Al 0.2500 0.2500 0.4784
9 Al 0.2500 0.2500 0.9934
10 Al 0.2500 0.4455 0.5830
11 Al 0.2500 0.5830 0.0049
12 Al 0.2500 0.9170 0.0049
13 Al 0.7500 0.0830 0.9951
14 Al 0.7500 0.4170 0.9951
15 Al 0.7500 0.5545 0.4170
16 Al 0.7500 0.7500 0.0066
17 Al 0.7500 0.7500 0.5216
18 Al 0.7500 0.9455 0.4170
19 Cu 0.2500 0.0820 0.8445
20 Cu 0.2500 0.4180 0.8445
21 Cu 0.2500 0.6447 0.5375
22 Cu 0.2500 0.7500 0.8615
23 Cu 0.2500 0.8553 0.5375
24 Cu 0.7500 0.1447 0.4625
25 Cu 0.7500 0.2500 0.1385
26 Cu 0.7500 0.3553 0.4625
27 Cu 0.7500 0.5820 0.1555
28 Cu 0.7500 0.9180 0.1555

Output
**E_tot**: -105.7 eV/cell
**M_tot**: 0.00 μB/f.u.

---

(3)
Material: ZnFe2
Method: DFT, PBE
State: optimized geometry

a = 10.9399 Å, b = 10.9399 Å, c = 10.9399 Å
α = 160.43°, β = 160.43°, γ = 27.81°
Fractional positions:
1 Zn 0.2923 0.5423 0.7500
2 Zn 0.4577 0.7077 0.7500
3 Zn 0.5423 0.2923 0.2500
4 Zn 0.7077 0.4577 0.2500
5 Fe 0.0441 0.7941 0.2500
6 Fe 0.1243 0.3743 0.7500
7 Fe 0.2059 0.9559 0.2500
8 Fe 0.3743 0.1243 0.2500
9 Fe 0.6257 0.8757 0.7500
10 Fe 0.7941 0.0441 0.7500
11 Fe 0.8757 0.6257 0.2500
12 Fe 0.9559 0.2059 0.7500

Output
**E_tot**: -72.5 eV/cell
**M_tot**: 4.61 μB/f.u.

---

(4)
Material: MgTa2Ag
Method: DFT, PBE
State: optimized geometry

a = 2.8378 Å, b = 5.1342 Å, c = 5.0947 Å
α = 90.00°, β = 99.22°, γ = 90.00°
Fractional positions:
1 Mg 0.0000 0.0000 0.0000
2 Ta 0.2573 0.5000 0.7511
3 Ta 0.7427 0.5000 0.2489
4 Ag 0.5000 0.0000 0.5000

Output
**E_tot**: -27.0 eV/cell
**M_tot**: 0.00 μB/f.u.